Here is a relaxed structure of Ca2Re2Au from Alexandria. Energies are from PBE. Values from VASP.

Cell and atoms, written as Quantum ESPRESSO input:
```
&SYSTEM
  ibrav = 0, nat = 5, ntyp = 3
/
ATOMIC_SPECIES
Re 186.21 Re.upf
Ca 40.08 Ca.upf
Au 196.97 Au.upf
ATOMIC_POSITIONS crystal
Re 0.6480 0.6480 0.7040
Re 0.3520 0.3520 0.2960
Ca 0.2500 0.7500 0.5000
Ca 0.7500 0.2500 0.5000
Au 0.0000 0.0000 0.0000
CELL_PARAMETERS angstrom
-4.7917 2.9213 1.5059
-1.1532 -3.9875 4.0659
-0.9599 1.4641 5.3155
```

Its raw total energy is -27.36 eV for the cell shown. The value obtained for the size of the total moment is 1.666 μB/f.u. Its distance to the lowest polymorph of the same formula is 575 meV/atom. The formation energy is 4.818 eV/f.u.